1.
# CsPmReN4, optimized geometry, DFT PBE
data_CsPmReN4
_chemical_formula_sum 'Cs2 Pm2 Re2 N8'
_symmetry_space_group_name_H-M 'P 1 21/m 1'
_symmetry_Int_Tables_number 11
_symmetry_space_group_name_Hall '-P 2yb'
_cell_length_a 6.2419
_cell_length_b 6.1230
_cell_length_c 8.3634
_cell_angle_alpha 90.00
_cell_angle_beta 104.76
_cell_angle_gamma 90.00
loop_
_atom_site_label
_atom_site_fract_x
_atom_site_fract_y
_atom_site_fract_z
Cs1 0.2154 0.2500 0.4263
Pm1 0.2836 0.2500 0.9443
Re1 0.2449 0.7500 0.1411
N1 0.0514 0.7500 0.9384
N2 0.0657 0.7500 0.2841
N3 0.4342 0.5157 0.1574
# VASP energy in eV for the cell shown: -108.563

2.
# CsPmReN3, optimized geometry, DFT PBE
data_CsPmReN3
_chemical_formula_sum 'Cs4 Pm4 Re4 N12'
_symmetry_space_group_name_H-M 'C 1 2/m 1'
_symmetry_Int_Tables_number 12
_symmetry_space_group_name_Hall '-C 2y'
_cell_length_a 13.8077
_cell_length_b 3.9346
_cell_length_c 8.6406
_cell_angle_alpha 90.00
_cell_angle_beta 103.88
_cell_angle_gamma 90.00
loop_
_atom_site_label
_atom_site_fract_x
_atom_site_fract_y
_atom_site_fract_z
Cs1 0.1410 0.0000 0.0720
Pm1 0.1614 0.0000 0.5755
Re1 0.0064 0.5000 0.3478
N1 0.0126 0.0000 0.3464
N2 0.1263 0.5000 0.7671
N3 0.1577 0.5000 0.3872
# VASP energy in eV for the cell shown: -183.592

3.
# CsPm2Re2N6, optimized geometry, DFT PBE
data_CsPm2Re2N6
_chemical_formula_sum 'Cs1 Pm2 Re2 N6'
_symmetry_space_group_name_H-M 'P -1'
_symmetry_Int_Tables_number 2
_symmetry_space_group_name_Hall '-P 1'
_cell_length_a 6.4607
_cell_length_b 6.9103
_cell_length_c 7.1455
_cell_angle_alpha 61.09
_cell_angle_beta 67.13
_cell_angle_gamma 62.29
loop_
_atom_site_label
_atom_site_fract_x
_atom_site_fract_y
_atom_site_fract_z
Cs1 0.0000 0.0000 0.0000
Pm1 0.3413 0.3155 0.2711
Re1 0.3885 0.3762 0.6837
N1 0.0760 0.5261 0.6899
N2 0.4827 0.3753 0.8972
N3 0.4865 0.0984 0.6562
# VASP energy in eV for the cell shown: -91.447

4.
# CsPmTcN3, optimized geometry, DFT PBE
data_CsPmTcN3
_chemical_formula_sum 'Cs4 Pm4 Tc4 N12'
_symmetry_space_group_name_H-M 'C 1 2/m 1'
_symmetry_Int_Tables_number 12
_symmetry_space_group_name_Hall '-C 2y'
_cell_length_a 13.8299
_cell_length_b 3.9300
_cell_length_c 8.5964
_cell_angle_alpha 90.00
_cell_angle_beta 103.88
_cell_angle_gamma 90.00
loop_
_atom_site_label
_atom_site_fract_x
_atom_site_fract_y
_atom_site_fract_z
Cs1 0.1409 0.0000 0.0740
Pm1 0.1606 0.0000 0.5723
Tc1 0.0054 0.5000 0.3453
N1 0.0132 0.0000 0.3457
N2 0.1259 0.5000 0.7666
N3 0.1591 0.5000 0.3894
# VASP energy in eV for the cell shown: -173.117

5.
# CsPmWN3, optimized geometry, DFT PBE
data_CsPmWN3
_chemical_formula_sum 'Cs4 Pm4 W4 N12'
_symmetry_space_group_name_H-M 'C 1 2/m 1'
_symmetry_Int_Tables_number 12
_symmetry_space_group_name_Hall '-C 2y'
_cell_length_a 13.8922
_cell_length_b 3.9514
_cell_length_c 8.7876
_cell_angle_alpha 90.00
_cell_angle_beta 104.30
_cell_angle_gamma 90.00
loop_
_atom_site_label
_atom_site_fract_x
_atom_site_fract_y
_atom_site_fract_z
Cs1 0.1426 0.0000 0.0676
Pm1 0.1626 0.0000 0.5860
W1 0.0101 0.5000 0.3424
N1 0.0142 0.0000 0.3587
N2 0.1283 0.5000 0.7624
N3 0.1580 0.5000 0.3734
# VASP energy in eV for the cell shown: -187.256

6.
# CsPrReN3, optimized geometry, DFT PBE
data_CsPrReN3
_chemical_formula_sum 'Cs2 Pr2 Re2 N6'
_symmetry_space_group_name_H-M 'P 63/m m c'
_symmetry_Int_Tables_number 194
_symmetry_space_group_name_Hall '-P 6c 2c'
_cell_length_a 6.3829
_cell_length_b 6.3829
_cell_length_c 7.1456
_cell_angle_alpha 90.00
_cell_angle_beta 90.00
_cell_angle_gamma 120.00
loop_
_atom_site_label
_atom_site_fract_x
_atom_site_fract_y
_atom_site_fract_z
Cs1 0.3333 0.6667 0.2500
Pr1 0.0000 0.0000 0.0000
Re1 0.3333 0.6667 0.7500
N1 0.1686 0.3372 0.7500
# VASP energy in eV for the cell shown: -92.196

7.
# Cs2PrRe2N6, optimized geometry, DFT PBE
data_Cs2PrRe2N6
_chemical_formula_sum 'Cs4 Pr2 Re4 N12'
_symmetry_space_group_name_H-M 'C 1 2/m 1'
_symmetry_Int_Tables_number 12
_symmetry_space_group_name_Hall '-C 2y'
_cell_length_a 11.4376
_cell_length_b 6.6001
_cell_length_c 7.5489
_cell_angle_alpha 90.00
_cell_angle_beta 120.43
_cell_angle_gamma 90.00
loop_
_atom_site_label
_atom_site_fract_x
_atom_site_fract_y
_atom_site_fract_z
Cs1 0.2237 0.0000 0.1731
Pr1 0.0000 0.0000 0.5000
Re1 0.0692 0.5000 0.2098
N1 0.0162 0.2724 0.2789
N2 0.2446 0.5000 0.2818
# VASP energy in eV for the cell shown: -169.445

8.
# CsPrTcN3, optimized geometry, DFT PBE
data_CsPrTcN3
_chemical_formula_sum 'Cs4 Pr4 Tc4 N12'
_symmetry_space_group_name_H-M 'C 1 2/m 1'
_symmetry_Int_Tables_number 12
_symmetry_space_group_name_Hall '-C 2y'
_cell_length_a 13.9774
_cell_length_b 3.9605
_cell_length_c 8.6198
_cell_angle_alpha 90.00
_cell_angle_beta 104.10
_cell_angle_gamma 90.00
loop_
_atom_site_label
_atom_site_fract_x
_atom_site_fract_y
_atom_site_fract_z
Cs1 0.1397 0.0000 0.0732
Pr1 0.1604 0.0000 0.5773
Tc1 0.0065 0.5000 0.3461
N1 0.0131 0.0000 0.3463
N2 0.1234 0.5000 0.7698
N3 0.1564 0.5000 0.3857
# VASP energy in eV for the cell shown: -172.368

Question: Which formula does entry 3 have?
Answer: CsPm2Re2N6

Question: The highest VASP energy belongs to which entry?
Answer: CsPm2Re2N6

Question: Which value of VASP energy does entry 3 give?
Answer: -91.447 eV for the cell shown